Entry 1:
Compound: ScCoRu2
Source: Alexandria
Functional: GGA-PBE
Structure: relaxed

a b c (Å): 3.049 3.049 6.350
angles (deg): 90.00 90.00 90.00
Positions (direct):
Sc 0.000 0.000 0.000
Co 0.500 0.500 0.254
Ru 0.000 0.000 0.477
Ru 0.500 0.500 0.723

Values from the calculation:
energy relative to the lowest polymorph listed for this composition: 0.069 eV/atom
space-group type: No. 99
formation energy from the elements: 0.0021 eV per atom
crystal system: tetragonal

Entry 2:
Compound: Sm2ErPb2
Source: Alexandria
Functional: GGA-PBE
Structure: relaxed

a b c (Å): 8.132 8.132 8.132
angles (deg): 118.05 81.66 132.45
Positions (direct):
Sm 0.146 0.149 0.295
Sm 0.354 0.649 0.002
Sm 0.646 0.351 0.998
Sm 0.854 0.851 0.705
Er 0.250 0.750 0.500
Er 0.750 0.250 0.500
Pb 0.114 0.771 0.885
Pb 0.386 0.271 0.658
Pb 0.614 0.729 0.342
Pb 0.886 0.229 0.115

Values from the calculation:
energy relative to the lowest polymorph listed for this composition: 0.186 eV/atom
space-group type: No. 72
formation energy from the elements: -0.3177 eV per atom
crystal system: orthorhombic

Entry 3:
Compound: Tb3Cu11
Source: Alexandria
Functional: GGA-PBE
Structure: relaxed

a b c (Å): 7.801 7.801 7.801
angles (deg): 148.98 111.83 76.77
Positions (direct):
Tb 0.000 0.000 0.000
Tb 0.306 0.306 0.000
Tb 0.694 0.694 0.000
Cu 0.031 0.675 0.356
Cu 0.158 0.878 0.280
Cu 0.292 0.500 0.792
Cu 0.319 0.675 0.644
Cu 0.401 0.122 0.280
Cu 0.500 0.000 0.500
Cu 0.599 0.878 0.720
Cu 0.681 0.325 0.356
Cu 0.708 0.500 0.208
Cu 0.842 0.122 0.720
Cu 0.969 0.325 0.644

Values from the calculation:
space-group type: No. 71
formation energy from the elements: -0.1978 eV per atom
crystal system: orthorhombic

Entry 4:
Compound: Tb4As2H
Source: Alexandria
Functional: GGA-PBE
Structure: relaxed

a b c (Å): 8.614 8.614 8.614
angles (deg): 150.86 150.86 41.68
Positions (direct):
Tb 0.000 0.500 0.500
Tb 0.180 0.180 0.000
Tb 0.500 0.000 0.500
Tb 0.820 0.820 0.000
As 0.364 0.364 0.000
As 0.636 0.636 0.000
H 0.000 0.000 0.000

Values from the calculation:
space-group type: No. 139
crystal system: tetragonal

Entry 5:
Compound: La2PmZn
Source: Alexandria
Functional: GGA-PBE
Structure: relaxed

a b c (Å): 10.965 10.965 10.965
angles (deg): 19.61 19.61 19.61
Positions (direct):
La 0.000 0.000 0.000
La 0.189 0.189 0.189
Pm 0.762 0.762 0.762
Zn 0.594 0.594 0.594

Values from the calculation:
energy relative to the lowest polymorph listed for this composition: 0.118 eV/atom
space-group type: No. 160
formation energy from the elements: -0.0261 eV per atom
crystal system: trigonal

Entry 6:
Compound: Dy2HoGa
Source: Alexandria
Functional: GGA-PBE
Structure: relaxed

a b c (Å): 3.511 3.511 8.876
angles (deg): 90.00 90.00 90.00
Positions (direct):
Dy 0.000 0.000 0.210
Dy 0.000 0.000 0.790
Ho 0.500 0.500 0.500
Ga 0.500 0.500 0.000

Values from the calculation:
energy relative to the lowest polymorph listed for this composition: 0.005 eV/atom
space-group type: No. 123
formation energy from the elements: -0.2728 eV per atom
crystal system: tetragonal

Results for DOS at the Fermi energy: 0.891, 0.733, 0.398, 0.802, 1.258, 1.096 (in states/eV/atom, following the order of the records).
Results for calculated total energy: -8.00, -4.60, -4.41, -5.33, -4.00, -4.47 (in eV per atom, following the order of the records).